Entry 1:
DFT (GGA-PBEsol) results for V2BP3O12 after structural relaxation.

```
108
Lattice="7.4104 0.0000 0.0000 0.0000 13.9559 0.0000 0.0000 -6.9779 12.0862" Properties=species:S:1:pos:R:3 pbc="T T T"
P 5.5578 7.5209 1.2618
P 1.8526 9.3304 2.7142
P 1.8526 6.9402 6.7233
P 5.5578 2.0498 1.8198
P 1.8526 -0.5429 10.8243
P 1.8526 -4.3771 11.2209
P 5.5578 11.3551 0.8653
P 1.8526 2.6676 7.1442
P 1.8526 -2.1247 6.2038
P 1.8526 -0.5511 2.6850
P 5.5578 -2.3524 9.3720
P 1.8526 4.6633 2.6487
P 5.5578 0.0378 5.3629
P 5.5578 4.3103 4.9420
P 5.5578 2.3146 9.4374
P 5.5578 9.1027 5.8823
P 5.5578 7.5290 9.4011
P 1.8526 4.9282 10.2664
O 6.8375 8.3368 9.3360
O 4.2781 10.8948 0.1982
O 4.2781 1.7022 2.5519
O 5.5578 6.6966 10.7551
O 5.5578 7.6513 2.8425
O 0.5729 5.2757 9.5343
O 4.2785 0.8366 5.2440
O 5.5578 7.6686 5.2050
O 4.2781 8.3368 9.3360
O 5.5578 1.3703 8.1423
O 1.8526 -4.0411 9.7003
O 3.1367 3.3868 7.4787
O 0.5729 -1.3589 2.7501
O 5.5578 3.7632 8.8767
O 3.1323 5.2757 9.5343
O 1.8526 1.3640 8.0475
O 5.5578 6.3802 8.3498
O 4.2737 8.1702 0.8063
O 4.2737 9.1725 6.6724
O 1.8526 -0.6733 9.2437
O 1.8526 3.4433 10.7357
O 5.5578 12.9438 0.9092
O 5.5578 3.5346 1.3505
O 6.8371 -2.8548 8.7397
O 5.5578 5.6140 4.0387
O 1.8526 0.2814 1.3311
O 1.8526 7.5896 5.2578
O 1.8526 0.5978 3.7363
O 6.8375 1.7022 2.5519
O 6.8371 2.0183 10.1886
O 1.8526 5.6845 11.6643
O 1.8526 5.6077 3.9439
O 0.5733 6.1414 6.8422
O 4.2737 3.5912 4.6074
O 3.1319 4.9597 1.8975
O 6.8419 3.5912 4.6074
O 6.8419 9.1725 6.6724
O 1.8526 -3.2176 7.3065
O 4.2785 -2.8548 8.7397
O 6.8371 0.8366 5.2440
O 1.8526 3.2148 3.2095
O 5.5578 10.1956 4.7796
O 5.5578 -0.6117 6.8283
O 1.8526 0.9585 11.2194
O 3.1367 -2.1946 5.4138
O 1.8526 -5.9659 11.1770
O 5.5578 11.0190 2.3858
O 5.5578 -1.1721 4.3888
O 3.1367 -1.1922 11.2798
O 1.8526 8.1500 7.6973
O 5.5578 4.7188 6.4398
O 0.5729 -3.9168 11.8879
O 3.1319 9.8327 3.3465
O 0.5733 4.9597 1.8975
O 0.5733 9.8327 3.3465
O 0.5685 -2.1946 5.4138
O 6.8375 10.8948 0.1982
O 1.8526 9.5690 1.1793
O 5.5578 -0.7586 9.2017
O 3.1319 6.1414 6.8422
O 4.2785 2.0183 10.1886
O 5.5578 -2.5911 10.9068
O 5.5578 6.0194 0.8667
O 0.5685 -1.1922 11.2798
O 1.8526 2.2591 5.6463
O 3.1323 -1.3589 2.7501
O 1.8526 7.7366 2.8844
O 5.5578 1.2934 0.4219
O 6.8419 8.1702 0.8063
O 1.8526 -0.6906 6.8812
O 0.5685 3.3868 7.4787
O 3.1323 -3.9168 11.8879
V 4.1761 4.6219 0.3167
V 6.9395 11.3707 3.8443
V 6.9395 4.9413 7.9251
V 3.2343 2.3561 11.7695
V 6.9395 4.6219 0.3167
V 0.4709 -4.3927 8.2418
V 0.4709 2.0367 4.1610
V 4.1761 4.9413 7.9251
V 3.2343 -4.3927 8.2418
V 3.2343 2.0367 4.1610
V 4.1761 11.3707 3.8443
V 0.4709 2.3561 11.7695
B 5.5578 0.0000 8.0574
B 1.8526 0.0000 0.0000
B 5.5578 6.9780 4.0287
B 1.8526 6.9780 4.0287
B 5.5578 0.0000 0.0000
B 1.8526 0.0000 8.0574
```

* space-group type: P6_3/m (176)
* N(E_F): 8.437 states/eV/f.u.
* formation energy (no corrections): -2.260 eV per atom

---

Entry 2:
DFT (GGA-PBEsol) results for ScRe2Si3 after structural relaxation.

```
24
Lattice="-0.6948 -5.0327 0.9341 1.9727 -4.0768 -6.2142 8.5873 -3.1467 3.7169" Properties=species:S:1:pos:R:3 pbc="T T T"
Re 4.3803 -8.9314 -2.4820
Re 1.3785 -1.3465 0.7932
Re 3.4492 -5.5551 0.7328
Re 6.4388 -6.5357 -2.3267
Re 6.8672 -4.2746 3.3830
Re 0.5791 -4.3270 -2.4315
Re 5.5077 -3.1595 0.8881
Re 0.3987 -6.9556 -2.4452
Si 1.6010 -3.9044 1.4678
Si 4.5964 -4.6448 2.6809
Si 5.9495 -6.7521 3.6429
Si 4.7699 -7.3063 -0.5629
Si 0.2245 -2.4073 -1.0841
Si 1.1781 -5.7987 -4.3636
Si 8.5659 -6.6536 -1.0655
Si 2.6402 -3.6947 -3.8142
Si 1.3069 -5.5480 -0.5079
Si 7.2325 -8.5069 2.2409
Si 5.1173 -4.7899 -1.0300
Si 3.5043 -2.0268 1.6902
Sc 6.6668 -5.9886 0.9568
Sc 2.8698 -3.1798 -1.0177
Sc 3.2131 -6.1607 -2.5398
Sc 7.0102 -8.9695 -0.5653
```

* space-group type: Fmm2 (42)
* N(E_F): 1.839 states/eV/f.u.
* formation energy (no corrections): -0.598 eV per atom

---

Entry 3:
DFT (GGA-PBEsol) results for RbPdRu2Pb after structural relaxation.

```
5
Lattice="-4.1170 2.0164 -0.3626 -1.1060 -2.8726 -3.4164 -2.0976 -3.6143 3.7181" Properties=species:S:1:pos:R:3 pbc="T T T"
Pb -1.0488 -1.8072 1.8591
Ru -0.5530 -1.4363 -1.7082
Ru -2.0585 1.0082 -0.1813
Rb 0.0000 0.0000 0.0000
Pd -3.6603 -2.2353 -0.0304
```

* space-group type: P4/mmm (123)
* N(E_F): 6.093 states/eV/f.u.
* E: -3.542 eV/atom

---

Entry 4:
DFT (GGA-PBEsol) results for SrFe2OsAu after structural relaxation.

```
5
Lattice="4.4496 0.0000 0.0000 0.0000 4.4496 0.0000 0.0000 0.0000 5.0530" Properties=species:S:1:pos:R:3 pbc="T T T"
Sr 0.0000 0.0000 0.0000
Au 0.0000 0.0000 2.5265
Fe 0.0000 2.2248 0.0000
Fe 2.2248 0.0000 0.0000
Os 2.2248 2.2248 2.5265
```

* space-group type: P4/mmm (123)
* N(E_F): 8.066 states/eV/f.u.
* E: -4.429 eV/atom